[1]
The following is a DFT calculation (PBE) of MgPdCl6 after structural relaxation.

Results
The density comes out at 3.13 Mg/m³. The formation energy (no corrections) is -0.795 eV per atom.

```
data_MgPdCl6
_cell_length_a 6.1766
_cell_length_b 6.1766
_cell_length_c 16.5356
_cell_angle_alpha 90.00
_cell_angle_beta 90.00
_cell_angle_gamma 120.00
_symmetry_space_group_name_H-M 'R -3'
_symmetry_Int_Tables_number 148
_symmetry_space_group_name_Hall '-R 3'
loop_
_atom_site_label
_atom_site_type_symbol
_atom_site_fract_x
_atom_site_fract_y
_atom_site_fract_z
Mg1 Mg 0.0000 0.0000 0.0000
Pd1 Pd 0.0000 0.0000 0.5000
Cl1 Cl 0.0013 0.3149 0.4180
```

=====

[2]
The following is a DFT calculation (PBE) of MgPdCl5 after structural relaxation.

Results
The density comes out at 2.90 Mg/m³. The formation energy (no corrections) is -0.979 eV per atom.

```
data_MgPdCl5
_cell_length_a 9.397
_cell_length_b 8.698
_cell_length_c 9.363
_cell_angle_alpha 90.00
_cell_angle_beta 112.59
_cell_angle_gamma 90.00
_symmetry_space_group_name_H-M 'C 1 2/c 1'
_symmetry_Int_Tables_number 15
loop_
_symmetry_equiv_pos_as_xyz
'x,y,z'
'-x,-y,-z'
'-x,y,-z+1/2'
'x,-y,z+1/2'
'x+1/2,y+1/2,z'
'-x+1/2,-y+1/2,-z'
'-x+1/2,y+1/2,-z+1/2'
'x+1/2,-y+1/2,z+1/2'
loop_
_atom_site_label
_atom_site_type_symbol
_atom_site_fract_x
_atom_site_fract_y
_atom_site_fract_z
Mg1 Mg 0.000 0.050 0.250
Pd1 Pd 0.250 0.250 0.000
Cl1 Cl 0.000 0.237 0.750
Cl2 Cl 0.102 0.273 0.152
Cl3 Cl 0.221 0.018 0.497
```

=====

[3]
The following is a DFT calculation (PBE) of MgPdCl2 after structural relaxation.

Results
The density comes out at 3.96 Mg/m³. The formation energy (no corrections) is -0.847 eV per atom. As for the polymorph energy (0 for the lowest one): 0 meV per atom.

```
data_MgPdCl2
_cell_length_a 3.5868
_cell_length_b 3.5868
_cell_length_c 22.7629
_cell_angle_alpha 90.00
_cell_angle_beta 90.00
_cell_angle_gamma 120.00
_symmetry_space_group_name_H-M 'R -3 m'
_symmetry_Int_Tables_number 166
_symmetry_space_group_name_Hall '-R 3 2"'
loop_
_atom_site_label
_atom_site_type_symbol
_atom_site_fract_x
_atom_site_fract_y
_atom_site_fract_z
Mg1 Mg 0.0000 0.0000 0.0000
Pd1 Pd 0.0000 0.0000 0.5000
Cl1 Cl 0.0000 0.0000 0.3950
```

=====

> What is the formula in the third record?

MgPdCl2

=====

Repeat the second record exactly.
The following is a DFT calculation (PBE) of MgPdCl5 after structural relaxation.

Results
The density comes out at 2.90 Mg/m³. The formation energy (no corrections) is -0.979 eV per atom.

```
data_MgPdCl5
_cell_length_a 9.397
_cell_length_b 8.698
_cell_length_c 9.363
_cell_angle_alpha 90.00
_cell_angle_beta 112.59
_cell_angle_gamma 90.00
_symmetry_space_group_name_H-M 'C 1 2/c 1'
_symmetry_Int_Tables_number 15
loop_
_symmetry_equiv_pos_as_xyz
'x,y,z'
'-x,-y,-z'
'-x,y,-z+1/2'
'x,-y,z+1/2'
'x+1/2,y+1/2,z'
'-x+1/2,-y+1/2,-z'
'-x+1/2,y+1/2,-z+1/2'
'x+1/2,-y+1/2,z+1/2'
loop_
_atom_site_label
_atom_site_type_symbol
_atom_site_fract_x
_atom_site_fract_y
_atom_site_fract_z
Mg1 Mg 0.000 0.050 0.250
Pd1 Pd 0.250 0.250 0.000
Cl1 Cl 0.000 0.237 0.750
Cl2 Cl 0.102 0.273 0.152
Cl3 Cl 0.221 0.018 0.497
```